*one*
The following is a GGA-PBEsol calculation of ReIr2Rh after structural relaxation, from Alexandria via LeMat-Bulk.

Cell and atoms, written as extended XYZ:
```
4
Lattice="2.698 0.000 0.000 0.000 3.830 0.000 0.000 0.000 5.411" Properties=species:S:1:pos:R:3 pbc="T T T"
Re 0.000 0.000 0.000
Ir 1.349 1.915 1.344
Ir 1.349 1.915 4.067
Rh 0.000 0.000 2.706
```

Results
DOS(E_F) (states/eV per cell): 3.276
Total magnetic moment (μB/f.u.): 0.0
Space group: Pmmm, No. 47

=====

*two*
The following is a GGA-PBEsol calculation of ReIr2Rh after structural relaxation, from Alexandria via LeMat-Bulk.

Cell and atoms, written as extended XYZ:
```
4
Lattice="1.351 0.780 8.875 -1.351 0.780 8.875 0.000 -1.560 8.875" Properties=species:S:1:pos:R:3 pbc="T T T"
Re 0.000 0.000 0.000
Ir 0.000 0.000 13.325
Ir 0.000 0.000 19.944
Rh 0.000 0.000 6.689
```

Results
DOS(E_F) (states/eV per cell): 3.373
Total magnetic moment (μB/f.u.): 0.0
Space group: R3m, No. 160

=====

Stability, lowest: *two*

=====

*one*
The following is a GGA-PBEsol calculation of ReIr2Rh after structural relaxation, from Alexandria via LeMat-Bulk.

Cell and atoms, written as extended XYZ:
```
4
Lattice="4.491 -1.348 0.000 4.491 1.348 0.000 -0.801 0.000 4.619" Properties=species:S:1:pos:R:3 pbc="T T T"
Re 0.000 0.000 0.000
Ir 1.670 0.000 3.475
Ir 6.511 0.000 1.144
Rh 4.090 0.000 2.309
```

Results
DOS(E_F) (states/eV per cell): 3.792
Total magnetic moment (μB/f.u.): 0.0
Space group: C2/m, No. 12

=====

*two*
The following is a GGA-PBEsol calculation of ReIr2Rh after structural relaxation, from Alexandria via LeMat-Bulk.

Cell and atoms, written as extended XYZ:
```
4
Lattice="2.704 -3.824 0.000 2.704 3.824 0.000 0.000 0.000 2.702" Properties=species:S:1:pos:R:3 pbc="T T T"
Re 0.000 0.000 0.000
Ir 1.352 1.912 1.351
Ir 1.352 -1.912 1.351
Rh 2.704 0.000 0.000
```

Results
DOS(E_F) (states/eV per cell): 2.707
Total magnetic moment (μB/f.u.): 0.0
Space group: Cmmm, No. 65

=====

*three*
The following is a GGA-PBEsol calculation of ReIr2Rh after structural relaxation, from Alexandria via LeMat-Bulk.

Cell and atoms, written as extended XYZ:
```
4
Lattice="1.353 0.781 8.846 -1.353 0.781 8.846 0.000 -1.563 8.846" Properties=species:S:1:pos:R:3 pbc="T T T"
Re 0.000 0.000 0.000
Ir 0.000 0.000 6.657
Ir 0.000 0.000 19.880
Rh 0.000 0.000 13.269
```

Results
DOS(E_F) (states/eV per cell): 4.007
Total magnetic moment (μB/f.u.): 0.0
Space group: R-3m, No. 166

=====

*four*
The following is a GGA-PBEsol calculation of ReIr2Rh after structural relaxation, from Alexandria via LeMat-Bulk.

Cell and atoms, written as extended XYZ:
```
4
Lattice="-1.921 1.921 3.787 1.921 -1.921 3.787 1.921 1.921 -3.787" Properties=species:S:1:pos:R:3 pbc="T T T"
Re 0.000 0.000 0.000
Ir 1.921 0.000 1.894
Ir 0.000 1.921 1.894
Rh 0.000 0.000 3.787
```

Results
DOS(E_F) (states/eV per cell): 4.146
Total magnetic moment (μB/f.u.): 0.0
Space group: I4/mmm, No. 139

=====

Stability, lowest: *three*

=====

*one*
The following is a GGA-PBEsol calculation of ReIr2Rh after structural relaxation, from Alexandria via LeMat-Bulk.

Cell and atoms, written as extended XYZ:
```
4
Lattice="2.691 0.000 0.000 0.000 3.848 0.000 0.000 0.000 5.400" Properties=species:S:1:pos:R:3 pbc="T T T"
Re 0.000 0.000 0.000
Ir 0.000 0.000 2.688
Ir 1.345 1.924 4.065
Rh 1.345 1.924 1.337
```

Results
DOS(E_F) (states/eV per cell): 3.081
Total magnetic moment (μB/f.u.): 0.0
Space group: Pmm2, No. 25

=====

*two*
The following is a GGA-PBEsol calculation of ReIr2Rh after structural relaxation, from Alexandria via LeMat-Bulk.

Cell and atoms, written as extended XYZ:
```
4
Lattice="2.696 0.000 0.000 0.000 2.696 0.000 0.000 0.000 7.716" Properties=species:S:1:pos:R:3 pbc="T T T"
Re 0.000 0.000 0.000
Ir 0.000 0.000 3.851
Ir 1.348 1.348 5.798
Rh 1.348 1.348 1.901
```

Results
DOS(E_F) (states/eV per cell): 3.955
Total magnetic moment (μB/f.u.): 0.0
Space group: P4mm, No. 99

=====

Stability, lowest: *two*